A plane-wave DFT calculation with PBE+U was carried out for crystalline RbTe2WO8 at its relaxed geometry.

Properties
ρ   4.8 g/cm³
Total energy   -5.551 eV per atom
Size of the total moment   3.0 μB per formula unit

Unit cell a=5.604 b=6.447 c=7.952 alpha=63.04 beta=69.37 gamma=64.24
Site moments in Bohr magnetons follow the coordinates.
Sites, in units of the cell vectors:
Rb1 0.500 0.500 0.500  0.00
Te1 0.294 0.257 0.156  0.03
Te2 0.706 0.743 0.844  0.03
W1 0.000 0.000 0.000  2.56
O1 0.862 0.629 0.647  0.03
O2 0.699 0.513 0.090  0.04
O3 0.138 0.371 0.353  0.03
O4 0.301 0.487 0.910  0.04
O5 0.639 0.019 0.191  -0.02
O6 0.361 0.981 0.809  -0.02
O7 0.151 0.019 0.191  -0.02
O8 0.849 0.981 0.809  -0.02